No. 1
Rb3Ag (PBE-GGA, optimized geometry); energy of formation = 0.28 eV per formula unit; energy above the lowest structure with this stoichiometry = 27 meV per atom; DOS(E_F) = 2.6 states/eV/f.u.
1.0
-2.286 3.151 8.794
2.286 -3.151 8.794
2.286 3.151 -8.794
Rb Ag
3 1
Direct
0.000 0.000 0.000
0.332 0.832 0.500
0.668 0.168 0.500
0.500 0.500 0.000

No. 2
RbAg (PBE-GGA, optimized geometry); energy of formation = 0.29 eV per formula unit
1.0
7.152 0.000 0.000
0.000 7.152 0.000
0.000 0.000 7.130
Rb Ag
4 4
Direct
0.189 0.189 0.000
0.311 0.689 0.500
0.689 0.311 0.500
0.811 0.811 0.000
0.148 0.148 0.500
0.352 0.648 0.000
0.648 0.352 0.000
0.852 0.852 0.500

No. 3
Rb2Ag (PBE-GGA, optimized geometry); energy of formation = 0.08 eV per formula unit; energy above the lowest structure with this stoichiometry = 0 meV per atom; DOS(E_F) = 1.3 states/eV/f.u.
1.0
4.993 0.000 0.000
0.008 7.352 0.000
2.442 1.849 9.243
Rb Ag
4 2
Direct
0.093 0.291 0.322
0.334 0.176 0.829
0.666 0.824 0.171
0.907 0.709 0.678
0.262 0.600 0.975
0.738 0.400 0.025

No. 4
RbAg (PBE-GGA, optimized geometry); energy of formation = 0.48 eV per formula unit; DOS(E_F) = 0.0 states/eV/f.u.
1.0
0.000 4.080 4.080
4.080 0.000 4.080
4.080 4.080 0.000
Rb Ag
1 1
Direct
0.000 0.000 0.000
0.750 0.750 0.750

No. 5
Rb3Ag (PBE-GGA, optimized geometry); energy of formation = 0.17 eV per formula unit; energy above the lowest structure with this stoichiometry = 0 meV per atom; DOS(E_F) = 2.7 states/eV/f.u.
1.0
2.584 -8.082 0.000
2.584 8.082 0.000
0.000 0.000 11.692
Rb Ag
6 2
Direct
0.077 0.923 0.750
0.351 0.649 0.566
0.351 0.649 0.934
0.649 0.351 0.066
0.649 0.351 0.434
0.923 0.077 0.250
0.256 0.744 0.250
0.744 0.256 0.750

No. 6
RbAg (PBE-GGA, optimized geometry); energy of formation = 0.06 eV per formula unit; DOS(E_F) = 0.7 states/eV/f.u.
1.0
2.446 1.412 9.075
-2.446 1.412 9.075
0.000 -2.824 9.075
Rb Ag
2 2
Direct
0.086 0.086 0.086
0.914 0.914 0.914
0.333 0.333 0.333
0.667 0.667 0.667

No. 7
RbAg (PBE-GGA, optimized geometry); energy of formation = 0.21 eV per formula unit; DOS(E_F) = 0.5 states/eV/f.u.
1.0
3.200 -5.197 0.000
3.200 5.197 0.000
0.000 0.000 9.827
Rb Ag
4 4
Direct
0.000 0.000 0.000
0.000 0.000 0.500
0.294 0.706 0.750
0.706 0.294 0.250
0.397 0.603 0.107
0.397 0.603 0.393
0.603 0.397 0.607
0.603 0.397 0.893

No. 8
RbAg13 (PBE-GGA, optimized geometry); energy of formation = 0.73 eV per formula unit; DOS(E_F) = 4.0 states/eV/f.u.
1.0
0.000 6.670 6.670
6.670 0.000 6.670
6.670 6.670 0.000
Rb Ag
2 26
Direct
0.250 0.250 0.250
0.750 0.750 0.750
0.000 0.000 0.000
0.064 0.297 0.703
0.064 0.703 0.936
0.064 0.936 0.297
0.203 0.436 0.797
0.203 0.564 0.436
0.203 0.797 0.564
0.297 0.064 0.936
0.297 0.703 0.064
0.297 0.936 0.703
0.436 0.203 0.564
0.436 0.564 0.797
0.436 0.797 0.203
0.500 0.500 0.500
0.564 0.203 0.797
0.564 0.436 0.203
0.564 0.797 0.436
0.703 0.064 0.297
0.703 0.297 0.936
0.703 0.936 0.064
0.797 0.203 0.436
0.797 0.436 0.564
0.797 0.564 0.203
0.936 0.064 0.703
0.936 0.297 0.064
0.936 0.703 0.297

No. 9
RbReAg2 (PBE-GGA, optimized geometry); energy of formation = 5.79 eV per formula unit; energy above the lowest structure with this stoichiometry = 108 meV per atom; DOS(E_F) = 3.2 states/eV/f.u.
1.0
0.000 3.615 3.615
3.615 0.000 3.615
3.615 3.615 0.000
Rb Re Ag
1 1 2
Direct
0.000 0.000 0.000
0.500 0.500 0.500
0.250 0.250 0.250
0.750 0.750 0.750

No. 10
RbRe3Ag (PBE-GGA, optimized geometry); energy of formation = 20.57 eV per formula unit; energy above the lowest structure with this stoichiometry = 977 meV per atom; DOS(E_F) = 8.6 states/eV/f.u.
1.0
4.694 0.000 0.000
0.000 4.694 0.000
0.000 0.000 4.694
Rb Re Ag
1 3 1
Direct
0.000 0.000 0.000
0.000 0.000 0.500
0.000 0.500 0.000
0.500 0.000 0.000
0.500 0.500 0.500

No. 11
RbRe3Ag (PBE-GGA, optimized geometry); energy of formation = 15.69 eV per formula unit; energy above the lowest structure with this stoichiometry = 0 meV per atom; DOS(E_F) = 6.0 states/eV/f.u.
1.0
5.067 0.000 0.000
0.000 5.067 0.000
0.000 0.000 5.067
Rb Re Ag
1 3 1
Direct
0.000 0.000 0.000
0.000 0.500 0.500
0.500 0.000 0.500
0.500 0.500 0.000
0.500 0.500 0.500

No. 12
RbReAg3 (PBE-GGA, optimized geometry); energy of formation = 11.78 eV per formula unit; energy above the lowest structure with this stoichiometry = 1240 meV per atom; DOS(E_F) = 2.7 states/eV/f.u.
1.0
5.600 0.000 0.000
0.000 5.600 0.000
0.000 0.000 5.600
Rb Re Ag
1 1 3
Direct
0.000 0.000 0.000
0.500 0.500 0.500
0.000 0.000 0.500
0.000 0.500 0.000
0.500 0.000 0.000

No. 13
RbReAg2 (PBE-GGA, optimized geometry); energy of formation = 5.36 eV per formula unit; energy above the lowest structure with this stoichiometry = 0 meV per atom; DOS(E_F) = 3.0 states/eV/f.u.
1.0
-2.734 2.734 9.330
2.734 -2.734 9.330
2.734 2.734 -9.330
Rb Re Ag
2 2 4
Direct
0.375 0.625 0.750
0.625 0.375 0.250
0.125 0.875 0.250
0.875 0.125 0.750
0.000 0.000 0.000
0.000 0.000 0.500
0.000 0.500 0.000
0.500 0.000 0.500

No. 14
RbRe2Ag (PBE-GGA, optimized geometry); energy of formation = 6.98 eV per formula unit; energy above the lowest structure with this stoichiometry = 0 meV per atom; DOS(E_F) = 3.5 states/eV/f.u.
1.0
-2.241 2.241 10.352
2.241 -2.241 10.352
2.241 2.241 -10.352
Rb Re Ag
2 4 2
Direct
0.000 0.000 0.000
0.750 0.250 0.500
0.290 0.125 0.665
0.375 0.710 0.835
0.460 0.625 0.335
0.875 0.540 0.165
0.250 0.750 0.500
0.500 0.500 0.000

No. 15
RbRe2Ag (PBE-GGA, optimized geometry); energy of formation = 10.06 eV per formula unit; energy above the lowest structure with this stoichiometry = 768 meV per atom; DOS(E_F) = 4.3 states/eV/f.u.
1.0
0.000 3.324 3.324
3.324 0.000 3.324
3.324 3.324 0.000
Rb Re Ag
1 2 1
Direct
0.000 0.000 0.000
0.250 0.250 0.250
0.750 0.750 0.750
0.500 0.500 0.500

No. 16
RbReAg3 (PBE-GGA, optimized geometry); energy of formation = 5.58 eV per formula unit; energy above the lowest structure with this stoichiometry = 0 meV per atom; DOS(E_F) = 3.1 states/eV/f.u.
1.0
5.325 0.000 0.000
0.000 5.325 0.000
0.000 0.000 5.325
Rb Re Ag
1 1 3
Direct
0.000 0.000 0.000
0.500 0.500 0.500
0.000 0.500 0.500
0.500 0.000 0.500
0.500 0.500 0.000

No. 17
Rb3ReAg (PBE-GGA, optimized geometry); energy of formation = 7.12 eV per formula unit; energy above the lowest structure with this stoichiometry = 0 meV per atom; DOS(E_F) = 8.6 states/eV/f.u.
1.0
6.620 0.000 0.000
0.000 6.620 0.000
0.000 0.000 6.620
Rb Re Ag
3 1 1
Direct
0.000 0.000 0.500
0.000 0.500 0.000
0.500 0.000 0.000
0.500 0.500 0.500
0.000 0.000 0.000

No. 18
Rb2ReAgS4 (PBE-GGA, optimized geometry); ΔE_f (raw) = -57.1 kJ/mol of atoms; DOS(E_F) = 4.4 states/eV/f.u.
1.0
-3.769 3.769 4.150
3.769 -3.769 4.150
3.769 3.769 -4.150
Rb Re Ag S
2 1 1 4
Direct
0.000 0.000 0.000
0.750 0.250 0.500
0.250 0.750 0.500
0.500 0.500 0.000
0.257 0.103 0.574
0.316 0.743 0.846
0.529 0.684 0.426
0.897 0.471 0.154

No. 19
RbAg3Rh (PBE-GGA, optimized geometry); energy of formation = 9.22 eV per formula unit; energy above the lowest structure with this stoichiometry = 1303 meV per atom; DOS(E_F) = 5.8 states/eV/f.u.
1.0
5.458 0.000 0.000
0.000 5.458 0.000
0.000 0.000 5.458
Rb Ag Rh
1 3 1
Direct
0.000 0.000 0.000
0.000 0.000 0.500
0.000 0.500 0.000
0.500 0.000 0.000
0.500 0.500 0.500

No. 20
RbAgRh2 (PBE-GGA, optimized geometry); energy of formation = 3.21 eV per formula unit; energy above the lowest structure with this stoichiometry = 0 meV per atom; DOS(E_F) = 3.7 states/eV/f.u.
1.0
-2.386 2.386 9.828
2.386 -2.386 9.828
2.386 2.386 -9.828
Rb Ag Rh
2 2 4
Direct
0.000 0.000 0.000
0.750 0.250 0.500
0.250 0.750 0.500
0.500 0.500 0.000
0.361 0.625 0.236
0.375 0.611 0.736
0.389 0.125 0.764
0.875 0.639 0.264